1.
Entry from Alexandria via LeMat-Bulk: a relaxed structure of CoIrSN2 (PBE).

a b c (Å): 3.397 3.397 7.853
angles (deg): 90.00 90.00 90.00
Fractional coordinates of all 5 atoms:
Co 0.000 0.000 0.000
N 0.500 0.000 0.000
N 0.000 0.500 0.000
S 0.000 0.000 0.500
Ir 0.500 0.500 0.500

- Total magnetic moment: 0.00 μB/cell
- Final energy: -30.498 eV per cell
- Energy above the most stable polymorph in this dataset: 203 meV per atom
- Energy relative to the elements, uncorrected: 1249 meV per atom
- Space group: P4/mmm (123)

---

2.
Entry from Alexandria via LeMat-Bulk: a relaxed structure of CoIrSN2 (PBE).

a b c (Å): 3.717 3.717 5.380
angles (deg): 90.00 90.00 90.00
Site moments in Bohr magnetons follow the coordinates.
Fractional coordinates of all 5 atoms:
Co 0.500 0.500 0.500  2.15
Ir 0.000 0.000 0.000  -0.04
N 0.000 0.500 0.000  0.07
N 0.500 0.000 0.000  0.07
S 0.000 0.000 0.500  0.06

- Total magnetic moment: 2.43 μB/cell
- Final energy: -31.512 eV per cell
- Energy above the most stable polymorph in this dataset: 0 meV per atom
- Energy relative to the elements, uncorrected: 1047 meV per atom
- Space group: P4/mmm (123)

---

3.
Entry from Alexandria via LeMat-Bulk: a relaxed structure of ScCoIr2N (PBE).

a b c (Å): 4.818 3.925 4.818
angles (deg): 90.00 90.00 90.00
Site moments in Bohr magnetons follow the coordinates.
Fractional coordinates of all 5 atoms:
Ir 0.500 0.000 0.000  1.04
Ir 0.000 0.000 0.500  0.89
Co 0.500 0.500 0.500  2.29
N 0.000 0.500 0.000  0.66
Sc 0.000 0.000 0.000  -0.04

- Total magnetic moment: 5.04 μB/cell
- Final energy: -30.808 eV per cell
- Energy relative to the elements, uncorrected: 1735 meV per atom
- Space group: P4/mmm (123)

---

4.
Entry from Alexandria via LeMat-Bulk: a relaxed structure of CoIrSe2N (PBE).

a b c (Å): 5.132 5.132 3.623
angles (deg): 90.00 90.00 90.00
Site moments in Bohr magnetons follow the coordinates.
Fractional coordinates of all 5 atoms:
N 0.000 0.000 0.500  0.00
Se 0.000 0.500 0.000  0.08
Se 0.500 0.000 0.000  0.08
Ir 0.000 0.000 0.000  -0.01
Co 0.500 0.500 0.500  2.27

- Total magnetic moment: 2.55 μB/cell
- Final energy: -27.481 eV per cell
- Energy above the most stable polymorph in this dataset: 97 meV per atom
- Energy relative to the elements, uncorrected: 756 meV per atom
- Space group: P4/mmm (123)

---

5.
Entry from Alexandria via LeMat-Bulk: a relaxed structure of CoIrSe2N (PBE).

a b c (Å): 4.826 4.826 3.284
angles (deg): 90.00 90.00 90.00
Fractional coordinates of all 5 atoms:
Se 0.000 0.500 0.000
Se 0.500 0.000 0.000
Co 0.000 0.000 0.000
Ir 0.500 0.500 0.500
N 0.000 0.000 0.500

- Total magnetic moment: 0.00 μB/cell
- Final energy: -27.967 eV per cell
- Energy above the most stable polymorph in this dataset: 0 meV per atom
- Energy relative to the elements, uncorrected: 659 meV per atom
- Space group: P4/mmm (123)

---

6.
Entry from Alexandria via LeMat-Bulk: a relaxed structure of CoSi2IrN (PBE).

a b c (Å): 3.908 3.908 3.718
angles (deg): 90.00 90.00 90.00
Site moments in Bohr magnetons follow the coordinates.
Fractional coordinates of all 5 atoms:
Si 0.000 0.500 0.000  0.00
Si 0.500 0.000 0.000  0.00
Ir 0.500 0.500 0.500  0.02
Co 0.000 0.000 0.500  0.33
N 0.000 0.000 0.000  0.01

- Total magnetic moment: 0.35 μB/cell
- Final energy: -34.168 eV per cell
- Energy relative to the elements, uncorrected: 194 meV per atom
- Space group: P4/mmm (123)

---

7.
Entry from Alexandria via LeMat-Bulk: a relaxed structure of Co2SiIrN (PBE).

a b c (Å): 3.700 4.045 3.700
angles (deg): 90.00 90.00 90.00
Site moments in Bohr magnetons follow the coordinates.
Fractional coordinates of all 5 atoms:
Si 0.000 0.500 0.000  0.01
Ir 0.500 0.500 0.500  0.18
N 0.000 0.000 0.000  0.09
Co 0.500 0.000 0.000  1.20
Co 0.000 0.000 0.500  1.02

- Total magnetic moment: 2.49 μB/cell
- Final energy: -36.343 eV per cell
- Energy relative to the elements, uncorrected: 96 meV per atom
- Space group: P4/mmm (123)

---

8.
Entry from Alexandria via LeMat-Bulk: a relaxed structure of Sr2CoIrN (PBE).

a b c (Å): 5.924 3.744 5.924
angles (deg): 90.00 90.00 90.00
Site moments in Bohr magnetons follow the coordinates.
Fractional coordinates of all 5 atoms:
Co 0.500 0.500 0.500  1.74
Sr 0.000 0.000 0.500  -0.05
Sr 0.500 0.000 0.000  -0.04
N 0.000 0.500 0.000  0.00
Ir 0.000 0.000 0.000  0.03

- Total magnetic moment: 1.39 μB/cell
- Final energy: -26.082 eV per cell
- Energy relative to the elements, uncorrected: 315 meV per atom
- Space group: P4/mmm (123)

---

What did the first record say?
Entry from Alexandria via LeMat-Bulk: a relaxed structure of CoIrSN2 (PBE).

a b c (Å): 3.397 3.397 7.853
angles (deg): 90.00 90.00 90.00
Fractional coordinates of all 5 atoms:
Co 0.000 0.000 0.000
N 0.500 0.000 0.000
N 0.000 0.500 0.000
S 0.000 0.000 0.500
Ir 0.500 0.500 0.500

- Total magnetic moment: 0.00 μB/cell
- Final energy: -30.498 eV per cell
- Energy above the most stable polymorph in this dataset: 203 meV per atom
- Energy relative to the elements, uncorrected: 1249 meV per atom
- Space group: P4/mmm (123)